1.
A plane-wave DFT calculation with PBE was carried out for a relaxed LaTa2Ag crystal. Values from VASP.

Structure (Quantum ESPRESSO input):
```
&SYSTEM
  ibrav = 0, nat = 4, ntyp = 3
/
ATOMIC_SPECIES
La 138.91 La.upf
Ta 180.95 Ta.upf
Ag 107.87 Ag.upf
CELL_PARAMETERS angstrom
3.154 0.000 0.000
0.000 5.143 0.000
0.000 0.000 5.305
ATOMIC_POSITIONS crystal
La 0.000 0.000 0.000
Ta 0.000 0.500 0.500
Ta 0.500 0.000 0.500
Ag 0.500 0.500 0.000
```

Calculated values
offset from the most stable computed form = 239.1 meV per atom
energy of formation from the pure elements = 192 kJ/mol of formula units
VASP energy = -29.49 eV per formula unit

2.
A plane-wave DFT calculation with PBE was carried out for a relaxed K2PrAlS4 crystal. Values from VASP.

Structure (Quantum ESPRESSO input):
```
&SYSTEM
  ibrav = 0, nat = 16, ntyp = 4
/
ATOMIC_SPECIES
K 39.10 K.upf
Pr 140.91 Pr.upf
Al 26.98 Al.upf
S 32.06 S.upf
CELL_PARAMETERS angstrom
-3.950 4.277 5.842
3.950 -4.277 5.842
3.950 4.277 -5.842
ATOMIC_POSITIONS crystal
K 0.000 0.000 0.000
K 0.500 0.000 0.000
K 0.500 0.000 0.500
K 0.500 0.500 0.500
Pr 0.000 0.500 0.500
Pr 0.500 0.500 0.000
Al 0.000 0.000 0.500
Al 0.000 0.500 0.000
S 0.189 0.745 0.444
S 0.200 0.255 0.944
S 0.221 0.236 0.515
S 0.221 0.707 0.985
S 0.779 0.293 0.015
S 0.779 0.764 0.485
S 0.800 0.745 0.056
S 0.811 0.255 0.556
```

Calculated values
VASP energy = -38.03 eV per formula unit
E_form (uncorrected) = -1.351 eV/atom

3.
A plane-wave DFT calculation with PBE was carried out for a relaxed Ac2YPd3Au12 crystal. Values from VASP.

Structure (Quantum ESPRESSO input):
```
&SYSTEM
  ibrav = 0, nat = 18, ntyp = 4
/
ATOMIC_SPECIES
Ac 227.00 Ac.upf
Y 88.91 Y.upf
Pd 106.42 Pd.upf
Au 196.97 Au.upf
CELL_PARAMETERS angstrom
4.473 2.583 6.722
-4.473 2.583 6.722
0.000 -5.165 6.722
ATOMIC_POSITIONS crystal
Ac 0.106 0.106 0.106
Ac 0.894 0.894 0.894
Y 0.500 0.500 0.500
Pd 0.000 0.500 0.500
Pd 0.500 0.000 0.500
Pd 0.500 0.500 0.000
Au 0.107 0.643 0.643
Au 0.140 0.140 0.636
Au 0.140 0.636 0.140
Au 0.357 0.357 0.893
Au 0.357 0.893 0.357
Au 0.364 0.860 0.860
Au 0.636 0.140 0.140
Au 0.643 0.107 0.643
Au 0.643 0.643 0.107
Au 0.860 0.364 0.860
Au 0.860 0.860 0.364
Au 0.893 0.357 0.357
```

Calculated values
energy of formation from the pure elements = -181 kJ/mol of formula units
VASP energy = -71.46 eV per formula unit